Entry 1:
## AlSb2Rh (PBE)

Data for AlSb2Rh after structural relaxation.

Cell lengths 9.738, 9.738, 9.738 Å; angles 19.16, 19.16, 19.16 degrees
Fractional positions:
Sb 0.233 0.233 0.233
Sb 0.022 0.022 0.022
Rh 0.757 0.757 0.757
Al 0.487 0.487 0.487

## Properties
magnetic moment	0.000	μB per atom
crystal system	trigonal
ΔE_f (raw)	-13	kJ/mol of atoms



Entry 2:
## TlCd2F4 (PBE)

Data for TlCd2F4 after structural relaxation.

Cell lengths 3.481, 6.185, 7.133 Å; angles 97.13, 90.00, 90.00 degrees
Fractional positions:
F 0.000 0.308 0.835
F 0.500 0.808 0.835
F 0.500 0.192 0.165
F 0.000 0.692 0.165
Cd 0.000 0.000 0.000
Cd 0.500 0.500 0.000
Tl 0.000 0.000 0.500

## Properties
magnetic moment	0.000	μB per atom
crystal system	monoclinic
ΔE_f (raw)	-173	kJ/mol of atoms